DFT (PBEsol) results for a geometry-optimized YReSb structure.

Cell and atoms, written as CIF:
```
data_YReSb
_cell_length_a 3.541
_cell_length_b 4.567
_cell_length_c 4.567
_cell_angle_alpha 120.00
_cell_angle_beta 90.00
_cell_angle_gamma 90.00
_space_group_name_H-M_alt 'P 1'
_space_group_IT_number 1
_space_group_name_Hall 'P 1'
loop_
_atom_site_label
_atom_site_fract_x
_atom_site_fract_y
_atom_site_fract_z
Sb1 0.000 0.667 0.333
Y1 0.500 0.333 0.667
Re1 0.000 0.000 0.000
```

Properties
* E_form (uncorrected): -51 meV/atom
* electronic total energy: -8.288 eV/atom

DFT (PBEsol) results for a geometry-optimized TiTlBi2Ru structure.

Cell and atoms, written as CIF:
```
data_TiTlBi2Ru
_cell_length_a 5.058
_cell_length_b 5.572
_cell_length_c 5.572
_cell_angle_alpha 90.00
_cell_angle_beta 90.00
_cell_angle_gamma 90.00
_space_group_name_H-M_alt 'P 1'
_space_group_IT_number 1
_space_group_name_Hall 'P 1'
loop_
_atom_site_label
_atom_site_fract_x
_atom_site_fract_y
_atom_site_fract_z
Bi1 0.000 0.000 0.500
Bi2 0.000 0.500 0.000
Ru1 0.500 0.500 0.500
Ti1 0.500 0.000 0.000
Tl1 0.000 0.000 0.000
```

Properties
* ΔE_f: 43.303 kcal/mol of atoms
* electronic total energy: -4.061 eV/atom

DFT (PBEsol) results for a geometry-optimized BaHf2Sn2 structure.

Cell and atoms, written as CIF:
```
data_BaHf2Sn2
_cell_length_a 5.407
_cell_length_b 5.407
_cell_length_c 6.382
_cell_angle_alpha 115.06
_cell_angle_beta 115.06
_cell_angle_gamma 90.00
_space_group_name_H-M_alt 'P 1'
_space_group_IT_number 1
_space_group_name_Hall 'P 1'
loop_
_atom_site_label
_atom_site_fract_x
_atom_site_fract_y
_atom_site_fract_z
Ba1 0.000 0.000 0.000
Hf1 0.658 0.658 0.316
Hf2 0.342 0.342 0.684
Sn1 0.750 0.250 0.500
Sn2 0.250 0.750 0.500
```

Properties
* ΔE_f: 1.051 kcal/mol of atoms
* electronic total energy: -6.289 eV/atom

DFT (PBEsol) results for a geometry-optimized KBiF6 structure.

Cell and atoms, written as CIF:
```
data_KBiF6
_cell_length_a 5.397
_cell_length_b 5.397
_cell_length_c 9.772
_cell_angle_alpha 90.00
_cell_angle_beta 90.00
_cell_angle_gamma 90.00
_space_group_name_H-M_alt 'P 1'
_space_group_IT_number 1
_space_group_name_Hall 'P 1'
loop_
_atom_site_label
_atom_site_fract_x
_atom_site_fract_y
_atom_site_fract_z
F1 0.190 0.190 0.395
F2 0.190 0.190 0.105
F3 0.267 0.267 0.750
F4 0.733 0.267 0.250
F5 0.267 0.733 0.250
F6 0.733 0.733 0.750
F7 0.190 0.810 0.605
F8 0.810 0.190 0.895
F9 0.810 0.810 0.105
F10 0.190 0.810 0.895
F11 0.810 0.810 0.395
F12 0.810 0.190 0.605
Bi1 0.000 0.000 0.750
Bi2 0.000 0.000 0.250
K1 0.500 0.500 0.000
K2 0.500 0.500 0.500
```

Properties
* E_form (uncorrected): -2203 meV/atom
* electronic total energy: -4.326 eV/atom

Q: electronic total energy of number 3 (BaHf2Sn2)?
A: -6.289 eV/atom

Please write out number 1 again, unchanged.
DFT (PBEsol) results for a geometry-optimized YReSb structure.

Cell and atoms, written as CIF:
```
data_YReSb
_cell_length_a 3.541
_cell_length_b 4.567
_cell_length_c 4.567
_cell_angle_alpha 120.00
_cell_angle_beta 90.00
_cell_angle_gamma 90.00
_space_group_name_H-M_alt 'P 1'
_space_group_IT_number 1
_space_group_name_Hall 'P 1'
loop_
_atom_site_label
_atom_site_fract_x
_atom_site_fract_y
_atom_site_fract_z
Sb1 0.000 0.667 0.333
Y1 0.500 0.333 0.667
Re1 0.000 0.000 0.000
```

Properties
* E_form (uncorrected): -51 meV/atom
* electronic total energy: -8.288 eV/atom

Q: Which of these has the highest electronic total energy?
A: TiTlBi2Ru